P.
{"formula": "YTeBr2", "functional": "GGA-PBE", "state": "relaxed", "m_tot_mub_per_fu": 0.99, "crystal_system": "monoclinic", "n_ef_per_ev_cell": 0.9, "lattice_angstrom": [[4.7718, 0.0000, 0.0000], [0.0000, 4.0468, 0.0000], [-2.0031, 0.0000, 7.6461]], "species": ["Y", "Te", "Br", "Br"], "frac_coords": [[0.0000, 0.0000, 0.0000], [0.5326, 0.5000, 0.0837], [0.1886, 0.0000, 0.3521], [0.8565, 0.5000, 0.7317]]}

=====

Q.
{"formula": "YTeBr2", "functional": "GGA-PBE", "state": "relaxed", "m_tot_mub_per_fu": 0.00, "crystal_system": "cubic", "n_ef_per_ev_cell": 7.0, "lattice_angstrom": [[0.0000, 3.7609, 3.7609], [3.7609, 0.0000, 3.7609], [3.7609, 3.7609, 0.0000]], "species": ["Y", "Te", "Br", "Br"], "frac_coords": [[0.0000, 0.0000, 0.0000], [0.5000, 0.5000, 0.5000], [0.2500, 0.2500, 0.2500], [0.7500, 0.7500, 0.7500]]}

=====

R.
{"formula": "YTeBr2", "functional": "GGA-PBE", "state": "relaxed", "m_tot_mub_per_fu": 0.00, "crystal_system": "monoclinic", "n_ef_per_ev_cell": 2.4, "lattice_angstrom": [[4.7812, 0.0000, 0.0000], [0.0000, 4.7247, 0.0000], [-2.3050, 0.0000, 5.3070]], "species": ["Y", "Te", "Br", "Br"], "frac_coords": [[0.0000, 0.0000, 0.0000], [0.5000, 0.5000, 0.0000], [0.0000, 0.0000, 0.5000], [0.5000, 0.5000, 0.5000]]}

=====

S.
{"formula": "YTeBr2", "functional": "GGA-PBE", "state": "relaxed", "m_tot_mub_per_fu": 0.08, "crystal_system": "monoclinic", "n_ef_per_ev_cell": 1.7, "lattice_angstrom": [[7.2014, -1.7701, 0.0000], [7.2014, 1.7701, 0.0000], [-3.6808, 0.0000, 6.6924]], "species": ["Y", "Te", "Br", "Br"], "frac_coords": [[0.0000, 0.0000, 0.0000], [0.6729, 0.6729, 0.3437], [0.3495, 0.3495, 0.9956], [0.5121, 0.5121, 0.7300]]}

=====

Least stable = Q

=====

P.
{"formula": "ZnTe2Br", "functional": "GGA-PBE", "state": "relaxed", "m_tot_mub_per_fu": 0.00, "crystal_system": "tetragonal", "n_ef_per_ev_cell": 1.4, "lattice_angstrom": [[3.7012, 0.0000, 0.0000], [0.0000, 3.7012, 0.0000], [0.0000, 0.0000, 7.7256]], "species": ["Zn", "Te", "Te", "Br"], "frac_coords": [[0.0000, 0.0000, 0.0000], [0.5000, 0.5000, 0.1855], [0.5000, 0.5000, 0.8145], [0.0000, 0.0000, 0.5000]]}

=====

Q.
{"formula": "ZnTe2Br", "functional": "GGA-PBE", "state": "relaxed", "m_tot_mub_per_fu": 0.00, "crystal_system": "monoclinic", "n_ef_per_ev_cell": 1.9, "lattice_angstrom": [[6.1286, -1.8398, 0.0000], [6.1286, 1.8398, 0.0000], [-1.3609, 0.0000, 5.6931]], "species": ["Zn", "Te", "Te", "Br"], "frac_coords": [[0.0000, 0.0000, 0.0000], [0.5005, 0.5005, 0.5990], [0.6408, 0.6408, 0.2998], [0.3375, 0.3375, 0.9534]]}

=====

Least stable = P